Entry 1:
Computed, not measured: crystalline GdZnHgBi at its relaxed geometry at the PBE level of DFT.

- Energy of formation from the pure elements: -93 kJ/mol of formula units
- V: 102.82 Å³/f.u.
- ρ: 10.21 g/cm3
- Total energy: -5.126 eV per atom

Cell lengths 5.259, 5.259, 5.259 Å; angles 60.00, 60.00, 60.00 degrees
Sites, in units of the cell vectors:
1 Gd 0.000 0.000 0.000
2 Zn 0.750 0.750 0.750
3 Hg 0.250 0.250 0.250
4 Bi 0.500 0.500 0.500



Entry 2:
Computed, not measured: crystalline Tm3TlS2 at its relaxed geometry at the PBE level of DFT.

- V: 139.42 Å³/f.u.
- ρ: 9.23 g/cm3
- Total energy: -5.182 eV per atom

Cell lengths 6.594, 6.594, 9.421 Å; angles 90.00, 90.00, 137.10 degrees
Sites, in units of the cell vectors:
1 Tm 0.107 0.893 0.750
2 Tm 0.367 0.633 0.551
3 Tm 0.367 0.633 0.949
4 Tm 0.633 0.367 0.051
5 Tm 0.633 0.367 0.449
6 Tm 0.893 0.107 0.250
7 Tl 0.219 0.781 0.250
8 Tl 0.781 0.219 0.750
9 S 0.000 0.000 0.000
10 S 0.000 0.000 0.500
11 S 0.472 0.528 0.250
12 S 0.528 0.472 0.750



Entry 3:
Computed, not measured: crystalline TbTh2Ga at its relaxed geometry at the PBE level of DFT.

- ΔE to the lowest computed polymorph: 0.000 eV per atom
- Energy of formation from the pure elements: -70 kJ/mol of formula units
- V: 111.06 Å³/f.u.
- ρ: 10.36 g/cm3
- Total energy: -5.805 eV per atom

Cell lengths 4.764, 4.764, 4.893 Å; angles 90.00, 90.00, 90.00 degrees
Sites, in units of the cell vectors:
1 Tb 0.000 0.000 0.000
2 Th 0.000 0.500 0.500
3 Th 0.500 0.000 0.500
4 Ga 0.500 0.500 0.000



Entry 4:
Computed, not measured: crystalline Li2Sc2Pt3 at its relaxed geometry at the PBE level of DFT.

- Energy of formation from the pure elements: -599 kJ/mol of formula units
- V: 125.80 Å³/f.u.
- ρ: 9.10 g/cm3
- Total energy: -5.832 eV per atom

Cell lengths 4.583, 4.584, 7.381 Å; angles 107.61, 90.35, 119.90 degrees
Sites, in units of the cell vectors:
1 Li 0.133 0.260 0.396
2 Li 0.867 0.740 0.604
3 Sc 0.387 0.771 0.160
4 Sc 0.613 0.229 0.840
5 Pt 0.000 0.000 0.000
6 Pt 0.256 0.516 0.769
7 Pt 0.744 0.484 0.231



Entry 5:
Computed, not measured: crystalline Dy2Tl3Cl9 at its relaxed geometry at the PBE level of DFT.

- V: 446.51 Å³/f.u.
- ρ: 4.68 g/cm3
- Total energy: -4.087 eV per atom

Cell lengths 9.666, 9.666, 9.666 Å; angles 84.88, 84.88, 84.88 degrees
Sites, in units of the cell vectors:
1 Dy 0.145 0.145 0.145
2 Dy 0.355 0.355 0.355
3 Dy 0.645 0.645 0.645
4 Dy 0.855 0.855 0.855
5 Tl 0.051 0.750 0.449
6 Tl 0.250 0.551 0.949
7 Tl 0.449 0.051 0.750
8 Tl 0.551 0.949 0.250
9 Tl 0.750 0.449 0.051
10 Tl 0.949 0.250 0.551
11 Cl 0.064 0.277 0.921
12 Cl 0.079 0.936 0.723
13 Cl 0.098 0.402 0.250
14 Cl 0.223 0.436 0.579
15 Cl 0.250 0.098 0.402
16 Cl 0.277 0.921 0.064
17 Cl 0.402 0.250 0.098
18 Cl 0.421 0.777 0.564
19 Cl 0.436 0.579 0.223
20 Cl 0.564 0.421 0.777
21 Cl 0.579 0.223 0.436
22 Cl 0.598 0.750 0.902
23 Cl 0.723 0.079 0.936
24 Cl 0.750 0.902 0.598
25 Cl 0.777 0.564 0.421
26 Cl 0.902 0.598 0.750
27 Cl 0.921 0.064 0.277
28 Cl 0.936 0.723 0.079